[1]
{"formula": "KPdSeO6", "functional": "PBE-GGA", "state": "relaxed", "lattice_angstrom": [[5.081, 0.000, 0.000], [-2.540, 4.400, 0.000], [0.000, 0.000, 6.110]], "species": ["K", "Pd", "Se", "O", "O", "O", "O", "O", "O"], "fractional_positions": [[0.000, 0.000, 0.000], [0.333, 0.667, 0.500], [0.667, 0.333, 0.500], [0.389, 0.026, 0.674], [0.389, 0.363, 0.326], [0.637, 0.026, 0.326], [0.637, 0.611, 0.674], [0.974, 0.363, 0.674], [0.974, 0.611, 0.326]], "e_form_raw_kj_per_mol_atoms": -65, "e_tot_ev_per_atom": -5.07, "dos_ef_per_ev_cell": 5.95}

[2]
{"formula": "K3PdSe2O8", "functional": "PBE-GGA", "state": "relaxed", "lattice_angstrom": [[5.924, 0.000, 0.000], [-2.962, 5.131, 0.000], [0.000, 0.000, 7.677]], "species": ["K", "K", "K", "Pd", "Se", "Se", "O", "O", "O", "O", "O", "O", "O", "O"], "fractional_positions": [[0.000, 0.000, 0.000], [0.333, 0.667, 0.668], [0.667, 0.333, 0.332], [0.000, 0.000, 0.500], [0.333, 0.667, 0.225], [0.667, 0.333, 0.775], [0.178, 0.356, 0.303], [0.178, 0.822, 0.303], [0.333, 0.667, 0.009], [0.356, 0.178, 0.697], [0.644, 0.822, 0.303], [0.667, 0.333, 0.991], [0.822, 0.178, 0.697], [0.822, 0.644, 0.697]], "e_form_raw_kj_per_mol_atoms": -102, "e_tot_ev_per_atom": -4.99, "dos_ef_per_ev_cell": 2.43}

[3]
{"formula": "KPdSeO5", "functional": "PBE-GGA", "state": "relaxed", "lattice_angstrom": [[3.990, -4.909, 0.000], [3.990, 4.909, 0.000], [-1.520, 0.000, 6.838]], "species": ["K", "K", "Pd", "Pd", "Se", "Se", "O", "O", "O", "O", "O", "O", "O", "O", "O", "O"], "fractional_positions": [[0.142, 0.858, 0.750], [0.858, 0.142, 0.250], [0.500, 0.500, 0.000], [0.500, 0.500, 0.500], [0.220, 0.780, 0.250], [0.780, 0.220, 0.750], [0.008, 0.257, 0.909], [0.205, 0.558, 0.370], [0.257, 0.008, 0.409], [0.424, 0.576, 0.750], [0.442, 0.795, 0.130], [0.558, 0.205, 0.870], [0.576, 0.424, 0.250], [0.743, 0.992, 0.591], [0.795, 0.442, 0.630], [0.992, 0.743, 0.091]], "e_form_raw_kj_per_mol_atoms": -81, "e_tot_ev_per_atom": -5.16, "dos_ef_per_ev_cell": 6.76}

[4]
{"formula": "K2PdSe2O6", "functional": "PBE-GGA", "state": "relaxed", "lattice_angstrom": [[6.245, -2.689, 0.000], [6.245, 2.689, 0.000], [-3.846, 0.000, 6.781]], "species": ["K", "K", "Pd", "Se", "Se", "O", "O", "O", "O", "O", "O"], "fractional_positions": [[0.219, 0.219, 0.284], [0.781, 0.781, 0.716], [0.000, 0.000, 0.500], [0.470, 0.470, 0.200], [0.530, 0.530, 0.800], [0.162, 0.666, 0.275], [0.334, 0.838, 0.725], [0.375, 0.375, 0.669], [0.625, 0.625, 0.331], [0.666, 0.162, 0.275], [0.838, 0.334, 0.725]], "e_form_raw_kj_per_mol_atoms": -103, "e_tot_ev_per_atom": -5.08}

Number 1 is which compound?
KPdSeO6

Repeat the first record exactly.
{"formula": "KPdSeO6", "functional": "PBE-GGA", "state": "relaxed", "lattice_angstrom": [[5.081, 0.000, 0.000], [-2.540, 4.400, 0.000], [0.000, 0.000, 6.110]], "species": ["K", "Pd", "Se", "O", "O", "O", "O", "O", "O"], "fractional_positions": [[0.000, 0.000, 0.000], [0.333, 0.667, 0.500], [0.667, 0.333, 0.500], [0.389, 0.026, 0.674], [0.389, 0.363, 0.326], [0.637, 0.026, 0.326], [0.637, 0.611, 0.674], [0.974, 0.363, 0.674], [0.974, 0.611, 0.326]], "e_form_raw_kj_per_mol_atoms": -65, "e_tot_ev_per_atom": -5.07, "dos_ef_per_ev_cell": 5.95}